Record 1
Computed, not measured: an optimized crystal structure of MgAg3P3O13 at the PBE level of DFT.

Lattice parameters (Å, degrees): 7.9115 6.5778 10.5540 90.00 101.43 90.00
Closest atoms and distances in Å follow each position.
Atoms (fractional coordinates):
Mg1 0.0554 0.2500 0.2221  3 O 1.93-2.16
Mg2 0.9446 0.7500 0.7779  3 O 1.93-2.16
Ag1 0.2240 0.2500 0.7401  4 O 2.02-2.17
Ag2 0.2296 0.7500 0.3937  4 O 2.06-2.14
Ag3 0.5000 0.0000 0.0000  4 O 2.06-2.07
Ag4 0.5000 0.5000 0.0000  4 O 2.06-2.07
Ag5 0.7704 0.2500 0.6063  4 O 2.06-2.14
Ag6 0.7760 0.7500 0.2599  4 O 2.02-2.17
P1 0.1824 0.7500 0.0786  4 O 1.52-1.58
P2 0.2506 0.2500 0.4748  4 O 1.51-1.58
P3 0.2826 0.7500 0.7174  4 O 1.52-1.57
P4 0.7174 0.2500 0.2826  4 O 1.52-1.57
P5 0.7494 0.7500 0.5252  4 O 1.51-1.58
P6 0.8176 0.2500 0.9214  4 O 1.52-1.58
O1 0.0359 0.7500 0.9618  1 P 1.52
O2 0.0973 0.2500 0.5508  1 P 1.58
O3 0.0967 0.7500 0.2013  1 P 1.58
O4 0.1585 0.5707 0.7352  1 P 1.57
O5 0.1585 0.9293 0.7352  1 P 1.57
O6 0.2182 0.0735 0.3715  1 P 1.58
O7 0.2182 0.4265 0.3715  1 P 1.58
O8 0.2959 0.5544 0.0914  1 P 1.56
O9 0.2959 0.9456 0.0914  1 P 1.56
O10 0.3442 0.7500 0.5872  1 P 1.55
O11 0.3577 0.2500 0.9239  3 Ag 2.02-2.06
O12 0.4147 0.2500 0.5761  1 P 1.51
O13 0.4480 0.7500 0.8199  1 P 1.52
O14 0.5520 0.2500 0.1801  1 P 1.52
O15 0.5853 0.7500 0.4239  1 P 1.51
O16 0.6423 0.7500 0.0761  3 Ag 2.02-2.06
O17 0.6558 0.2500 0.4128  1 P 1.55
O18 0.7041 0.0544 0.9086  1 P 1.56
O19 0.7041 0.4456 0.9086  1 P 1.56
O20 0.7818 0.5735 0.6285  1 P 1.58
O21 0.7818 0.9265 0.6285  1 P 1.58
O22 0.8415 0.0707 0.2648  1 P 1.57
O23 0.8415 0.4293 0.2648  1 P 1.57
O24 0.9033 0.2500 0.7987  1 P 1.58
O25 0.9027 0.7500 0.4492  1 P 1.58
O26 0.9641 0.2500 0.0382  1 P 1.52

Results
Total energy: -5.906 eV per atom
Formation energy from raw total energies: -1365 meV per atom
Density of states at the Fermi level: 15.57 states/eV per cell

=====

Record 2
Computed, not measured: an optimized crystal structure of MgAgP2O6 at the PBE level of DFT.

Lattice parameters (Å, degrees): 6.8215 6.8215 6.2697 106.39 106.39 85.53
Closest atoms and distances in Å follow each position.
Atoms (fractional coordinates):
Mg1 0.2207 0.7793 0.7500  6 O 2.03-2.25
Mg2 0.7793 0.2207 0.2500  6 O 2.03-2.25
Ag1 0.3918 0.6082 0.2500  4 O 2.39-2.57
Ag2 0.6082 0.3918 0.7500  4 O 2.39-2.57
P1 0.1301 0.2793 0.6712  3 O 1.53-1.56
P2 0.2793 0.1301 0.1712  3 O 1.53-1.56
P3 0.7207 0.8699 0.8288  3 O 1.53-1.56
P4 0.8699 0.7207 0.3288  3 O 1.53-1.56
O1 0.1030 0.7054 0.4016  1 P 1.53
O2 0.1218 0.2116 0.3146  1 P 1.56
O3 0.2116 0.1218 0.8146  1 P 1.56
O4 0.2443 0.4838 0.7890  1 P 1.54
O5 0.2946 0.8970 0.0984  1 P 1.53
O6 0.4838 0.2443 0.2890  1 P 1.54
O7 0.5162 0.7557 0.7110  1 P 1.54
O8 0.7054 0.1030 0.9016  1 P 1.53
O9 0.7557 0.5162 0.2110  1 P 1.54
O10 0.7884 0.8782 0.1854  1 P 1.56
O11 0.8782 0.7884 0.6854  1 P 1.56
O12 0.8970 0.2946 0.5984  1 P 1.53

Results
Total energy: -6.269 eV per atom
Formation energy from raw total energies: -1767 meV per atom
Density of states at the Fermi level: 2.52 states/eV per cell

=====

Record 3
Computed, not measured: an optimized crystal structure of MgAgPO4 at the PBE level of DFT.

Lattice parameters (Å, degrees): 5.1938 5.1938 7.7397 90.00 90.00 90.00
Closest atoms and distances in Å follow each position.
Atoms (fractional coordinates):
Mg1 0.0000 0.0000 0.0000  4 O 1.97
Mg2 0.5000 0.5000 0.5000  4 O 1.97
Ag1 0.0000 0.0000 0.5000  4 O 2.44
Ag2 0.5000 0.5000 0.0000  4 O 2.44
P1 0.0000 0.5000 0.2500  4 O 1.56
P2 0.5000 0.0000 0.7500  4 O 1.56
O1 0.1319 0.2918 0.1358  1 P 1.56
O2 0.2082 0.6319 0.3642  1 P 1.56
O3 0.2918 0.8681 0.8642  1 P 1.56
O4 0.3681 0.2082 0.6358  1 P 1.56
O5 0.6319 0.7918 0.6358  1 P 1.56
O6 0.7082 0.1319 0.8642  1 P 1.56
O7 0.7918 0.3681 0.3642  1 P 1.56
O8 0.8681 0.7082 0.1358  1 P 1.56

Results
Total energy: -6.270 eV per atom
Formation energy from raw total energies: -2029 meV per atom
Density of states at the Fermi level: 0.00 states/eV per cell

=====

Record 4
Computed, not measured: an optimized crystal structure of MgAg4P4O12 at the PBE level of DFT.

Lattice parameters (Å, degrees): 4.3283 6.5448 12.9471 99.87 96.55 96.35
Closest atoms and distances in Å follow each position.
Atoms (fractional coordinates):
Mg1 0.0000 0.0000 0.0000  2 O 1.98-2.02
Ag1 0.0733 0.0039 0.7979  1 O 2.24
Ag2 0.1328 0.3134 0.2745  4 O 2.42-2.62
Ag3 0.5779 0.7569 0.8416  2 O 2.30-2.53
Ag4 0.7199 0.8218 0.4050  2 O 2.19-2.20
P1 0.2610 0.3286 0.6183  4 O 1.48-1.65
P2 0.3908 0.4661 0.0447  4 O 1.48-1.63
P3 0.7104 0.3270 0.4629  4 O 1.52-1.60
P4 0.9755 0.7225 0.1617  4 O 1.49-1.63
O1 0.0058 0.4359 0.5469  2 P 1.59-1.65
O2 0.0917 0.1454 0.6525  1 P 1.49
O3 0.1444 0.7121 0.2673  1 P 1.49
O4 0.1799 0.6563 0.0655  2 P 1.63
O5 0.2207 0.2751 0.0769  1 P 1.52
O6 0.4609 0.2221 0.5264  2 P 1.60-1.65
O7 0.4647 0.5051 0.6902  1 P 1.48
O8 0.4883 0.4547 0.9382  1 P 1.48
O9 0.5734 0.4943 0.4116  1 P 1.52
O10 0.6814 0.5390 0.1397  2 P 1.61-1.62
O11 0.8021 0.1498 0.3842  1 P 1.53
O12 0.8743 0.9246 0.1357  1 P 1.52

Results
Total energy: -6.040 eV per atom
Formation energy from raw total energies: -1558 meV per atom

=====

Record 5
Computed, not measured: an optimized crystal structure of MgAgPO2 at the PBE level of DFT.

Lattice parameters (Å, degrees): 4.0453 4.0453 4.9275 90.00 90.00 90.00
Closest atoms and distances in Å follow each position.
Atoms (fractional coordinates):
Mg1 0.0000 0.0000 0.0000  4 P 2.86, 8 O 3.19
Ag1 0.5000 0.5000 0.5000  4 O 2.02
P1 0.5000 0.5000 0.0000  2 Ag 2.46
O1 0.0000 0.5000 0.5000  2 Ag 2.02
O2 0.5000 0.0000 0.5000  2 Ag 2.02

Results
Total energy: -3.676 eV per atom
Formation energy from raw total energies: 278 meV per atom
Density of states at the Fermi level: 4.56 states/eV per cell

=====

Record 6
Computed, not measured: an optimized crystal structure of MgTiAgP3O12 at the PBE level of DFT.

Lattice parameters (Å, degrees): 8.5377 8.5377 8.5377 62.16 62.16 62.16
Closest atoms and distances in Å follow each position.
Atoms (fractional coordinates):
Mg1 0.0000 0.0000 0.0000  6 O 2.16-2.17
Mg2 0.5000 0.5000 0.5000  6 O 2.16-2.17
Ti1 0.1498 0.1498 0.1498  6 O 1.90-2.11
Ti2 0.6498 0.6498 0.6498  6 O 1.90-2.11
Ag1 0.3562 0.3562 0.3562  6 O 2.09-2.19
Ag2 0.8562 0.8562 0.8562  6 O 2.09-2.19
P1 0.0525 0.7629 0.4484  4 O 1.52-1.57
P2 0.2629 0.5525 0.9484  4 O 1.52-1.57
P3 0.4484 0.0525 0.7629  4 O 1.52-1.57
P4 0.5525 0.9484 0.2629  4 O 1.52-1.57
P5 0.7629 0.4484 0.0525  4 O 1.52-1.57
P6 0.9484 0.2629 0.5525  4 O 1.52-1.57
O1 0.0096 0.1991 0.3816  1 P 1.57
O2 0.0359 0.8300 0.5935  1 P 1.52
O3 0.0558 0.9201 0.2554  1 P 1.56
O4 0.0935 0.3300 0.5359  1 P 1.52
O5 0.1084 0.7457 0.9331  1 P 1.55
O6 0.1991 0.3816 0.0096  1 P 1.57
O7 0.2457 0.6084 0.4331  1 P 1.55
O8 0.2554 0.0558 0.9201  1 P 1.56
O9 0.3300 0.5359 0.0935  1 P 1.52
O10 0.3816 0.0096 0.1991  1 P 1.57
O11 0.4201 0.5558 0.7554  1 P 1.56
O12 0.4331 0.2457 0.6084  1 P 1.55
O13 0.5096 0.8816 0.6991  1 P 1.57
O14 0.5359 0.0935 0.3300  1 P 1.52
O15 0.5558 0.7554 0.4201  1 P 1.56
O16 0.5935 0.0359 0.8300  1 P 1.52
O17 0.6084 0.4331 0.2457  1 P 1.55
O18 0.6991 0.5096 0.8816  1 P 1.57
O19 0.7457 0.9331 0.1084  1 P 1.55
O20 0.7554 0.4201 0.5558  1 P 1.56
O21 0.8300 0.5935 0.0359  1 P 1.52
O22 0.8816 0.6991 0.5096  1 P 1.57
O23 0.9201 0.2554 0.0558  1 P 1.56
O24 0.9331 0.1084 0.7457  1 P 1.55

Results
Total energy: -6.954 eV per atom
Formation energy from raw total energies: -2061 meV per atom
Density of states at the Fermi level: 5.15 states/eV per cell

=====

Record 7
Computed, not measured: an optimized crystal structure of MgPaAgO6 at the PBE level of DFT.

Lattice parameters (Å, degrees): 5.2367 5.2367 4.7855 90.00 90.00 120.00
Closest atoms and distances in Å follow each position.
Atoms (fractional coordinates):
Mg1 0.0000 0.0000 0.0000  6 O 2.08
Pa1 0.6667 0.3333 0.5000  6 O 2.18
Ag1 0.3333 0.6667 0.0000  6 O 2.05
O1 0.0095 0.3378 0.2377  1 Ag 2.05, 1 Mg 2.08, 1 Pa 2.18
O2 0.0095 0.6717 0.7623  1 Ag 2.05, 1 Mg 2.08, 1 Pa 2.18
O3 0.3283 0.3378 0.7623  1 Ag 2.05, 1 Mg 2.08, 1 Pa 2.18
O4 0.3283 0.9905 0.2377  1 Ag 2.05, 1 Mg 2.08, 1 Pa 2.18
O5 0.6622 0.6717 0.2377  1 Ag 2.05, 1 Mg 2.08, 1 Pa 2.18
O6 0.6622 0.9905 0.7623  1 Ag 2.05, 1 Mg 2.08, 1 Pa 2.18

Results
Total energy: -6.640 eV per atom
Formation energy from raw total energies: -1786 meV per atom

=====

Record 8
Computed, not measured: an optimized crystal structure of MgPaAgO4 at the PBE level of DFT.

Lattice parameters (Å, degrees): 6.6026 6.6026 6.6026 123.82 114.45 91.70
Closest atoms and distances in Å follow each position.
Atoms (fractional coordinates):
Mg1 0.5000 0.0000 0.0000  6 O 2.12-2.20
Mg2 0.5000 0.5000 0.5000  6 O 2.12-2.20
Pa1 0.0000 0.0000 0.0000  6 O 2.13-2.24
Pa2 0.5000 0.0000 0.5000  6 O 2.13-2.24
Ag1 0.0790 0.3290 0.7500  4 O 2.33-2.43
Ag2 0.9210 0.6710 0.2500  4 O 2.33-2.43
O1 0.2615 0.2284 0.4669  1 Mg 2.20, 2 Pa 2.24, 1 Ag 2.43
O2 0.2615 0.7945 0.0331  1 Mg 2.20, 2 Pa 2.24, 1 Ag 2.43
O3 0.2781 0.2287 0.0494  2 Mg 2.12, 1 Pa 2.13, 1 Ag 2.33
O4 0.3207 0.7713 0.5494  2 Mg 2.12, 1 Pa 2.13, 1 Ag 2.33
O5 0.6793 0.2287 0.4506  2 Mg 2.12, 1 Pa 2.13, 1 Ag 2.33
O6 0.7219 0.7713 0.9506  2 Mg 2.12, 1 Pa 2.13, 1 Ag 2.33
O7 0.7385 0.2055 0.9669  1 Mg 2.20, 2 Pa 2.24, 1 Ag 2.43
O8 0.7385 0.7716 0.5331  1 Mg 2.20, 2 Pa 2.24, 1 Ag 2.43

Results
Total energy: -7.334 eV per atom
Formation energy from raw total energies: -2509 meV per atom
Density of states at the Fermi level: 0.00 states/eV per cell